CrBClF4 | PBE+U | optimized geometry

Structure (CIF):
```
data_CrBClF4
_symmetry_space_group_name_H-M 'C 1 2/m 1'
_symmetry_Int_Tables_number 12
_cell_length_a 9.291
_cell_length_b 7.223
_cell_length_c 7.913
_cell_angle_alpha 90.00
_cell_angle_beta 120.08
_cell_angle_gamma 90.00
loop_
_symmetry_equiv_pos_as_xyz
'x,y,z'
'-x,-y,-z'
'-x,y,-z'
'x,-y,z'
'x+1/2,y+1/2,z'
'-x+1/2,-y+1/2,-z'
'-x+1/2,y+1/2,-z'
'x+1/2,-y+1/2,z'
loop_
_atom_site_label
_atom_site_type_symbol
_atom_site_fract_x
_atom_site_fract_y
_atom_site_fract_z
Cr1 Cr 0.203 0.000 0.188
B1 B 0.114 0.500 0.306
Cl1 Cl 0.066 0.000 0.842
F1 F 0.067 0.500 0.804
F2 F 0.159 0.500 0.509
F3 F 0.173 0.340 0.264
```

Crystal system ... monoclinic
Energy ... -5.78 eV per atom
Size of the total moment ... 4.00 μB/f.u.